No. 1
Entry from Alexandria: crystalline Zn2MoBr at its relaxed geometry (PBE).

CIF file:
```
data_Zn2MoBr
_chemical_formula_sum 'Zn2 Mo1 Br1'
_symmetry_space_group_name_H-M 'P 1'
_symmetry_Int_Tables_number 1
_cell_length_a 5.457
_cell_length_b 5.457
_cell_length_c 5.457
_cell_angle_alpha 138.72
_cell_angle_beta 138.72
_cell_angle_gamma 59.80
loop_
_symmetry_equiv_pos_as_xyz
'x,y,z'
loop_
_atom_site_label
_atom_site_fract_x
_atom_site_fract_y
_atom_site_fract_z
Zn1 0.250 0.750 0.500
Zn2 0.750 0.250 0.500
Mo1 0.000 0.000 0.000
Br1 0.500 0.500 0.000
```

Output
- M_tot: 2.21 μB per cell
- Volume: 17.5 A^3/atom
- E_form (uncorrected): 0.67 eV per atom


No. 2
Entry from Alexandria: crystalline Pr5AgTe4 at its relaxed geometry (PBE).

CIF file:
```
data_Pr5AgTe4
_chemical_formula_sum 'Pr5 Ag1 Te4'
_symmetry_space_group_name_H-M 'P 1'
_symmetry_Int_Tables_number 1
_cell_length_a 16.299
_cell_length_b 16.299
_cell_length_c 16.299
_cell_angle_alpha 164.11
_cell_angle_beta 164.11
_cell_angle_gamma 22.55
loop_
_symmetry_equiv_pos_as_xyz
'x,y,z'
loop_
_atom_site_label
_atom_site_fract_x
_atom_site_fract_y
_atom_site_fract_z
Pr1 0.000 0.000 0.000
Pr2 0.197 0.197 0.000
Pr3 0.400 0.400 0.000
Pr4 0.600 0.600 0.000
Pr5 0.803 0.803 0.000
Ag1 0.500 0.500 0.000
Te1 0.098 0.098 0.000
Te2 0.299 0.299 0.000
Te3 0.701 0.701 0.000
Te4 0.902 0.902 0.000
```

Output
- M_tot: 0.00 μB per cell
- Volume: 32.5 A^3/atom
- E_form (uncorrected): -1.18 eV per atom


No. 3
Entry from Alexandria: crystalline CoRe2BiIr at its relaxed geometry (PBE).

CIF file:
```
data_CoRe2BiIr
_chemical_formula_sum 'Co1 Re2 Bi1 Ir1'
_symmetry_space_group_name_H-M 'P 1'
_symmetry_Int_Tables_number 1
_cell_length_a 4.415
_cell_length_b 4.415
_cell_length_c 4.777
_cell_angle_alpha 90.00
_cell_angle_beta 90.00
_cell_angle_gamma 90.00
loop_
_symmetry_equiv_pos_as_xyz
'x,y,z'
loop_
_atom_site_label
_atom_site_fract_x
_atom_site_fract_y
_atom_site_fract_z
Co1 0.000 0.000 0.000
Re1 0.000 0.500 0.000
Re2 0.500 0.000 0.000
Bi1 0.000 0.000 0.500
Ir1 0.500 0.500 0.500
```

Output
- M_tot: 0.00 μB per cell
- Energy of formation: 1.70 eV/atom
- Volume: 18.6 A^3/atom


No. 4
Entry from Alexandria: crystalline CrBSe2N at its relaxed geometry (PBE).

CIF file:
```
data_CrBSe2N
_chemical_formula_sum 'Cr1 B1 Se2 N1'
_symmetry_space_group_name_H-M 'P 1'
_symmetry_Int_Tables_number 1
_cell_length_a 5.285
_cell_length_b 5.285
_cell_length_c 2.748
_cell_angle_alpha 90.00
_cell_angle_beta 90.00
_cell_angle_gamma 90.00
loop_
_symmetry_equiv_pos_as_xyz
'x,y,z'
loop_
_atom_site_label
_atom_site_fract_x
_atom_site_fract_y
_atom_site_fract_z
Cr1 0.000 0.000 0.000
B1 0.500 0.500 0.500
Se1 0.000 0.500 0.500
Se2 0.500 0.000 0.500
N1 0.500 0.500 0.000
```

Output
- M_tot: 3.79 μB per cell
- Volume: 15.3 A^3/atom
- E_form (uncorrected): 0.30 eV per atom


No. 5
Entry from Alexandria: crystalline AlV2FePb at its relaxed geometry (PBE).

CIF file:
```
data_AlV2FePb
_chemical_formula_sum 'Al1 V2 Fe1 Pb1'
_symmetry_space_group_name_H-M 'P 1'
_symmetry_Int_Tables_number 1
_cell_length_a 4.626
_cell_length_b 4.626
_cell_length_c 4.337
_cell_angle_alpha 90.00
_cell_angle_beta 90.00
_cell_angle_gamma 90.00
loop_
_symmetry_equiv_pos_as_xyz
'x,y,z'
loop_
_atom_site_label
_atom_site_fract_x
_atom_site_fract_y
_atom_site_fract_z
Al1 0.000 0.000 0.000
V1 0.000 0.500 0.000
V2 0.500 0.000 0.000
Fe1 0.000 0.000 0.500
Pb1 0.500 0.500 0.500
```

Output
- M_tot: 4.89 μB per cell
- Energy of formation: 1.00 eV/atom
- Volume: 18.6 A^3/atom


No. 6
Entry from Alexandria: crystalline TaMnAs2Pb at its relaxed geometry (PBE).

CIF file:
```
data_TaMnAs2Pb
_chemical_formula_sum 'Ta1 Mn1 As2 Pb1'
_symmetry_space_group_name_H-M 'P 1'
_symmetry_Int_Tables_number 1
_cell_length_a 5.293
_cell_length_b 5.293
_cell_length_c 4.905
_cell_angle_alpha 90.00
_cell_angle_beta 90.00
_cell_angle_gamma 90.00
loop_
_symmetry_equiv_pos_as_xyz
'x,y,z'
loop_
_atom_site_label
_atom_site_fract_x
_atom_site_fract_y
_atom_site_fract_z
Ta1 0.000 0.000 0.000
Mn1 0.500 0.500 0.000
As1 0.000 0.500 0.500
As2 0.500 0.000 0.500
Pb1 0.500 0.500 0.500
```

Output
- M_tot: 1.72 μB per cell
- Energy of formation: 1.81 eV/atom
- Volume: 27.5 A^3/atom